A plane-wave DFT calculation with PBE was carried out for CuTc2Au after structural relaxation.

```
4
Lattice="2.8980 0.0000 0.0000 0.0000 2.8980 0.0000 0.0000 0.0000 7.2365" Properties=species:S:1:pos:R:3 pbc="T T T"
Cu 1.4490 1.4490 5.4838
Au 0.0000 0.0000 3.7242
Tc 0.0000 0.0000 0.0726
Tc 1.4490 1.4490 1.5741
```

Properties
E_form = 0.7 eV per formula unit
Distance to the lowest polymorph of the same formula = 0.053 eV per atom
E_tot = -27.44 eV for the cell shown

***

A plane-wave DFT calculation with PBE was carried out for CuTcAu after structural relaxation.

```
3
Lattice="-2.6678 -2.7412 -1.6522 1.4225 -3.5348 -1.6862 -0.6907 -3.6416 1.9033" Properties=species:S:1:pos:R:3 pbc="T T T"
Tc 0.0000 0.0000 0.0000
Cu -1.4520 -7.4382 -1.0763
Au -0.9680 -4.9588 -0.7175
```

Properties
E_form = 2.3 eV per formula unit
Distance to the lowest polymorph of the same formula = 0.485 eV per atom
E_tot = -15.46 eV for the cell shown

***

A plane-wave DFT calculation with PBE was carried out for CuTc2Au after structural relaxation.

```
4
Lattice="-3.3107 0.7989 -1.4038 -0.4198 -3.5130 -1.0092 -1.8453 -0.8851 3.8483" Properties=species:S:1:pos:R:3 pbc="T T T"
Tc 0.0000 0.0000 0.0000
Tc -1.8652 -1.3571 -1.2065
Cu -1.1325 -2.1990 1.4195
Au -2.5780 -0.0431 1.2222
```

Properties
E_form = 1.2 eV per formula unit
Distance to the lowest polymorph of the same formula = 0.186 eV per atom
E_tot = -26.91 eV for the cell shown

***

A plane-wave DFT calculation with PBE was carried out for Cu2TcAu2 after structural relaxation.

```
5
Lattice="3.8123 0.0000 0.0000 0.0000 3.8123 0.0000 1.9062 1.9062 5.8637" Properties=species:S:1:pos:R:3 pbc="T T T"
Au 3.8123 1.9062 2.9318
Au 1.9062 3.8123 2.9318
Cu 3.8123 3.8123 4.7343
Cu 1.9062 1.9062 1.1294
Tc 0.0000 0.0000 0.0000
```

Properties
E_form = 3.1 eV per formula unit
Distance to the lowest polymorph of the same formula = 0.289 eV per atom
E_tot = -21.97 eV for the cell shown

***

A plane-wave DFT calculation with PBE was carried out for CuTcAu2 after structural relaxation.

```
4
Lattice="-4.2740 2.8448 -2.0764 -4.3174 1.1510 3.2722 5.3549 0.4965 -1.3229" Properties=species:S:1:pos:R:3 pbc="T T T"
Au -8.4946 3.9507 1.1823
Au -4.3925 2.0429 0.6113
Cu -1.6074 2.6696 -1.4007
Tc -1.6291 1.8227 1.2736
```

Properties
E_form = 1.6 eV per formula unit
Distance to the lowest polymorph of the same formula = 0.202 eV per atom
E_tot = -19.37 eV for the cell shown

***

A plane-wave DFT calculation with PBE was carried out for CuTcAu2 after structural relaxation.

```
8
Lattice="3.8419 0.0000 0.0000 0.0000 3.8419 0.0000 1.9210 1.9210 9.5023" Properties=species:S:1:pos:R:3 pbc="T T T"
Cu 1.9210 3.8419 4.7512
Cu 1.9210 1.9210 0.0000
Au 2.8814 2.8998 7.1267
Au 0.9788 2.8814 2.3756
Au 4.8024 4.7840 7.1267
Au 2.8631 0.9605 2.3756
Tc 0.0000 0.0000 0.0000
Tc 3.8419 1.9210 4.7512
```

Properties
E_form = 2.8 eV per formula unit
Distance to the lowest polymorph of the same formula = 0.485 eV per atom
E_tot = -36.48 eV for the cell shown

***

A plane-wave DFT calculation with PBE was carried out for CuTcAu2 after structural relaxation.

```
4
Lattice="-0.8347 -0.2102 3.9006 2.6589 -0.2557 0.5552 3.1206 5.5176 0.9652" Properties=species:S:1:pos:R:3 pbc="T T T"
Au 2.8863 2.6163 0.7586
Au 2.6624 -0.2411 0.5567
Cu 1.0275 1.2104 2.3304
Tc 3.9173 3.8413 3.0906
```

Properties
E_form = 1.2 eV per formula unit
Distance to the lowest polymorph of the same formula = 0.094 eV per atom
E_tot = -19.81 eV for the cell shown

***

A plane-wave DFT calculation with PBE was carried out for CuTcAu2 after structural relaxation.

```
4
Lattice="0.0000 3.1890 3.1890 3.1890 0.0000 3.1890 3.1890 3.1890 0.0000" Properties=species:S:1:pos:R:3 pbc="T T T"
Au 1.5945 1.5945 1.5945
Au 4.7835 4.7835 4.7835
Tc 3.1890 3.1890 3.1890
Cu 0.0000 0.0000 0.0000
```

Properties
E_form = 1.5 eV per formula unit
Distance to the lowest polymorph of the same formula = 0.173 eV per atom
E_tot = -19.49 eV for the cell shown

***

A plane-wave DFT calculation with PBE was carried out for CuTc2Au after structural relaxation.

```
4
Lattice="3.9244 -1.9586 0.0601 1.0033 -2.8026 3.2217 0.3225 -4.2916 -0.8477" Properties=species:S:1:pos:R:3 pbc="T T T"
Au 2.6251 -4.5264 1.2171
Cu 0.0000 0.0000 0.0000
Tc 1.3125 -2.2632 0.6085
Tc 3.9376 -6.7897 1.8256
```

Properties
E_form = 2.4 eV per formula unit
Distance to the lowest polymorph of the same formula = 0.481 eV per atom
E_tot = -25.73 eV for the cell shown

***

A plane-wave DFT calculation with PBE was carried out for CuTc2Au after structural relaxation.

```
4
Lattice="-1.0106 -4.3591 2.3727 2.1246 -4.2351 -1.7896 1.5007 4.6694 1.2640" Properties=species:S:1:pos:R:3 pbc="T T T"
Tc 0.5571 -4.2977 0.2916
Tc 1.1139 -8.5936 0.5831
Au 0.5235 -1.9934 1.9641
Cu 2.0912 -1.9314 -0.1170
```

Properties
E_form = 1.2 eV per formula unit
Distance to the lowest polymorph of the same formula = 0.185 eV per atom
E_tot = -26.92 eV for the cell shown

***

A plane-wave DFT calculation with PBE was carried out for Cu2TcAu2 after structural relaxation.

```
10
Lattice="7.4289 0.0000 0.0000 0.0000 7.4289 0.0000 0.0000 0.0000 2.7558" Properties=species:S:1:pos:R:3 pbc="T T T"
Cu 6.5570 4.5863 0.0000
Cu 2.8426 6.5570 0.0000
Cu 4.5863 0.8719 0.0000
Cu 0.8719 2.8426 0.0000
Tc 3.7144 3.7144 0.0000
Tc 0.0000 0.0000 0.0000
Au 6.0872 2.3728 1.3779
Au 1.3416 5.0561 1.3779
Au 5.0561 6.0872 1.3779
Au 2.3728 1.3416 1.3779
```

Properties
E_form = 1.7 eV per formula unit
Distance to the lowest polymorph of the same formula = 0.000 eV per atom
E_tot = -46.83 eV for the cell shown

***

A plane-wave DFT calculation with PBE was carried out for CuTc3Au after structural relaxation.

```
5
Lattice="-2.0164 -0.0376 3.9583 -2.9683 -2.9247 -1.5399 2.6190 -3.3437 1.3024" Properties=species:S:1:pos:R:3 pbc="T T T"
Au -1.1829 -3.1530 1.8604
Tc -1.0082 -0.0188 1.9792
Tc -1.4842 -1.4624 -0.7699
Tc 1.3095 -1.6719 0.6512
Cu 0.0000 0.0000 0.0000
```

Properties
E_form = 8.3 eV per formula unit
Distance to the lowest polymorph of the same formula = 0.000 eV per atom
E_tot = -30.21 eV for the cell shown

***

A plane-wave DFT calculation with PBE was carried out for CuTcAu2 after structural relaxation.

```
4
Lattice="-0.1944 -3.7049 2.5541 1.9886 -3.7968 -1.3846 3.7017 -1.4937 2.0865" Properties=species:S:1:pos:R:3 pbc="T T T"
Au 1.3740 -2.2488 0.8140
Au 0.0000 0.0000 0.0000
Tc 4.1219 -6.7465 2.4419
Cu 2.7480 -4.4977 1.6280
```

Properties
E_form = 1.7 eV per formula unit
Distance to the lowest polymorph of the same formula = 0.205 eV per atom
E_tot = -19.36 eV for the cell shown

***

A plane-wave DFT calculation with PBE was carried out for CuTc2Au after structural relaxation.

```
4
Lattice="4.1580 0.0000 0.0000 0.0000 2.7705 0.0115 0.0000 2.7514 5.2085" Properties=species:S:1:pos:R:3 pbc="T T T"
Au 2.0790 1.3805 1.3050
Tc 0.0000 2.7598 2.7627
Tc 0.0000 2.7526 5.0558
Cu 2.0790 4.1415 3.9150
```

Properties
E_form = 1.2 eV per formula unit
Distance to the lowest polymorph of the same formula = 0.187 eV per atom
E_tot = -26.91 eV for the cell shown

***

A plane-wave DFT calculation with PBE was carried out for CuTcAu2 after structural relaxation.

```
4
Lattice="4.8245 0.0089 -0.0303 4.0617 2.6036 -0.0303 0.6953 0.2044 5.0547" Properties=species:S:1:pos:R:3 pbc="T T T"
Au 4.7987 1.4108 2.5079
Au 9.5735 2.8146 4.9832
Tc 2.3954 0.7042 1.2485
Cu 7.1861 2.1127 3.7456
```

Properties
E_form = 1.4 eV per formula unit
Distance to the lowest polymorph of the same formula = 0.137 eV per atom
E_tot = -19.63 eV for the cell shown

***

A plane-wave DFT calculation with PBE was carried out for CuTc2Au after structural relaxation.

```
4
Lattice="4.9129 0.0036 0.0074 4.1440 2.6390 0.0074 0.7610 0.2220 4.5756" Properties=species:S:1:pos:R:3 pbc="T T T"
Au 7.3634 2.1485 3.4427
Tc 4.9244 1.4368 2.2461
Tc 9.0415 2.6381 0.0638
Cu 2.4545 0.7162 1.1476
```

Properties
E_form = 1.2 eV per formula unit
Distance to the lowest polymorph of the same formula = 0.191 eV per atom
E_tot = -26.89 eV for the cell shown

***

A plane-wave DFT calculation with PBE was carried out for CuTcAu2 after structural relaxation.

```
4
Lattice="-2.7527 1.0875 4.7485 0.8675 -3.1517 4.5412 1.7447 3.6009 -3.9113" Properties=species:S:1:pos:R:3 pbc="T T T"
Au -0.0125 -0.0137 0.0615
Au -0.9489 1.8570 2.6111
Cu -0.9321 -1.0206 4.5929
Tc 0.8103 -0.3182 2.7578
```

Properties
E_form = 1.3 eV per formula unit
Distance to the lowest polymorph of the same formula = 0.117 eV per atom
E_tot = -19.71 eV for the cell shown

***

A plane-wave DFT calculation with PBE was carried out for CuTcAu2 after structural relaxation.

```
4
Lattice="2.7501 0.0130 0.0000 -0.0131 2.7501 0.0000 0.0000 0.0000 8.2581" Properties=species:S:1:pos:R:3 pbc="T T T"
Tc 1.3685 1.3816 6.1935
Au 0.0000 0.0000 4.0476
Au 0.0000 0.0000 0.0815
Cu 1.3685 1.3816 2.0645
```

Properties
E_form = 0.9 eV per formula unit
Distance to the lowest polymorph of the same formula = 0.008 eV per atom
E_tot = -20.15 eV for the cell shown

***

A plane-wave DFT calculation with PBE was carried out for Cu3TcAu after structural relaxation.

```
5
Lattice="-3.3790 3.0718 -0.6595 -0.7919 -1.7699 -4.1868 -3.0404 -2.9529 1.8234" Properties=species:S:1:pos:R:3 pbc="T T T"
Cu -0.3960 -0.8850 -2.0934
Cu -1.5202 -1.4765 0.9117
Cu -1.6895 1.5359 -0.3297
Tc 0.0000 0.0000 0.0000
Au -3.6057 -0.8255 -1.5114
```

Properties
E_form = 7.3 eV per formula unit
Distance to the lowest polymorph of the same formula = 0.072 eV per atom
E_tot = -18.68 eV for the cell shown

***

A plane-wave DFT calculation with PBE was carried out for CuTcAu after structural relaxation.

```
3
Lattice="2.7672 0.0000 0.0000 -1.3836 2.3964 0.0000 0.0000 0.0000 6.7971" Properties=species:S:1:pos:R:3 pbc="T T T"
Cu 0.0000 1.5976 2.3132
Tc 1.3836 0.7988 4.4345
Au 0.0000 0.0000 0.0494
```

Properties
E_form = 0.8 eV per formula unit
Distance to the lowest polymorph of the same formula = 0.000 eV per atom
E_tot = -16.92 eV for the cell shown

***

A plane-wave DFT calculation with PBE was carried out for CuTcAu2 after structural relaxation.

```
4
Lattice="9.0597 -0.0405 -0.0238 8.6211 2.7851 -0.0238 8.6211 1.3382 2.4426" Properties=species:S:1:pos:R:3 pbc="T T T"
Tc 19.7263 3.0621 1.7963
Cu 6.5754 1.0207 0.5988
Au 26.2281 4.0713 2.3883
Au 13.2246 2.0528 1.2042
```

Properties
E_form = 1.1 eV per formula unit
Distance to the lowest polymorph of the same formula = 0.060 eV per atom
E_tot = -19.94 eV for the cell shown

***

A plane-wave DFT calculation with PBE was carried out for CuTcAu2 after structural relaxation.

```
4
Lattice="4.8235 -0.0144 0.0000 1.3841 4.6207 0.0000 -3.1038 -2.3032 2.8859" Properties=species:S:1:pos:R:3 pbc="T T T"
Tc 2.4117 -0.0072 1.4429
Au 0.0000 0.0000 0.0000
Au 0.6920 2.3103 1.4429
Cu 3.1038 2.3032 0.0000
```

Properties
E_form = 1.5 eV per formula unit
Distance to the lowest polymorph of the same formula = 0.171 eV per atom
E_tot = -19.50 eV for the cell shown

***

A plane-wave DFT calculation with PBE was carried out for CuTc2Au after structural relaxation.

```
4
Lattice="-0.8364 -4.1845 -1.9301 1.1741 -3.0757 -3.3311 3.3019 -2.5758 2.6999" Properties=species:S:1:pos:R:3 pbc="T T T"
Au 1.7437 -4.8742 -1.3553
Cu 0.9319 -2.4797 -0.6251
Tc 3.5787 -9.7477 -2.5789
Tc 2.8448 -7.4884 -1.8439
```

Properties
E_form = 1.1 eV per formula unit
Distance to the lowest polymorph of the same formula = 0.155 eV per atom
E_tot = -27.04 eV for the cell shown

***

A plane-wave DFT calculation with PBE was carried out for CuTc2Au after structural relaxation.

```
4
Lattice="2.6433 0.0081 0.0000 -0.0088 2.6433 0.0000 0.0000 0.0000 8.4735" Properties=species:S:1:pos:R:3 pbc="T T T"
Cu 1.3173 1.3257 6.3551
Au 1.3173 1.3257 2.1184
Tc 0.0000 0.0000 4.3895
Tc 0.0000 0.0000 8.3208
```

Properties
E_form = 1.5 eV per formula unit
Distance to the lowest polymorph of the same formula = 0.255 eV per atom
E_tot = -26.63 eV for the cell shown

***

A plane-wave DFT calculation with PBE was carried out for CuTcAu after structural relaxation.

```
3
Lattice="6.3849 -0.0151 0.0154 5.8154 2.6354 0.0179 0.5694 0.1195 2.6479" Properties=species:S:1:pos:R:3 pbc="T T T"
Au 12.1551 2.6106 0.0435
Tc 8.4264 1.8089 0.8817
Cu 4.3884 0.9406 1.7894
```

Properties
E_form = 0.9 eV per formula unit
Distance to the lowest polymorph of the same formula = 0.015 eV per atom
E_tot = -16.87 eV for the cell shown

***

A plane-wave DFT calculation with PBE was carried out for ZnCuTc2Au after structural relaxation.

```
5
Lattice="5.0305 0.0000 0.0000 0.0000 5.0305 0.0000 0.0000 0.0000 4.7163" Properties=species:S:1:pos:R:3 pbc="T T T"
Zn 0.0000 0.0000 2.3582
Tc 2.5153 0.0000 0.0000
Tc 0.0000 2.5153 0.0000
Cu 2.5153 2.5153 2.3582
Au 0.0000 0.0000 0.0000
```

Properties
E_form = 9.1 eV per formula unit
E_tot = -20.23 eV for the cell shown

***

A plane-wave DFT calculation with PBE was carried out for Cu2Te3Au after structural relaxation.

```
12
Lattice="-3.6984 -1.5776 -1.3939 3.1075 -2.2142 -5.7390 3.3313 -7.4911 6.1358" Properties=species:S:1:pos:R:3 pbc="T T T"
Cu 0.0376 -5.2306 -0.6759
Cu 2.1189 -10.1524 -0.6273
Cu 0.6216 -1.1305 -0.3698
Cu 2.7028 -6.0523 -0.3212
Te 3.1984 -8.3168 0.9269
Te 1.2846 -6.5571 -2.4831
Te 2.7157 -3.0644 -3.7371
Te 1.4559 -4.7259 1.4860
Te -0.4579 -2.9661 -1.9240
Te 0.0248 -8.2185 2.7401
Au -1.3590 -3.2016 0.7332
Au 4.0994 -8.0813 -1.7303
```

Properties
Formation energy (no corrections) = 9 meV/atom
Distance to the lowest polymorph of the same formula = 0.031 eV per atom
E_tot = -41.68 eV for the cell shown

***

A plane-wave DFT calculation with PBE was carried out for Cu2TeAu2 after structural relaxation.

```
5
Lattice="-3.1112 1.1164 -1.7257 1.0524 -1.8241 -3.0773 -4.2169 -5.8686 -0.2226" Properties=species:S:1:pos:R:3 pbc="T T T"
Cu -2.0970 -4.0233 -2.8507
Cu -4.1788 -2.5530 -2.1749
Au -4.5434 -5.0063 -3.1046
Au -1.7324 -1.5700 -1.9210
Te 0.0000 0.0000 0.0000
```

Properties
Formation energy (no corrections) = 192 meV/atom
Distance to the lowest polymorph of the same formula = 0.101 eV per atom
E_tot = -16.93 eV for the cell shown

***

A plane-wave DFT calculation with PBE was carried out for Cu3TeAu after structural relaxation.

```
5
Lattice="-0.9709 2.4225 -4.0002 -4.3476 -1.9728 -0.1396 -1.7230 3.6128 2.6061" Properties=species:S:1:pos:R:3 pbc="T T T"
Cu -0.4854 1.2113 -2.0001
Cu -2.1738 -0.9864 -0.0698
Cu -0.8615 1.8064 1.3030
Au 0.0000 0.0000 0.0000
Te -3.5207 2.0312 -0.7668
```

Properties
Formation energy (no corrections) = 641 meV/atom
Distance to the lowest polymorph of the same formula = 0.000 eV per atom
E_tot = -15.50 eV for the cell shown